Crystalline MgZnP2 at its relaxed geometry, computed with GGA-PBEsol.

Calculated values
DOS at the Fermi energy = 2.808 states/eV per cell
energy of formation = 33.9 kJ/mol of formula units
total magnetic moment = 0.00 μB per atom
energy relative to the lowest polymorph listed for this composition = 30.1 meV per atom

abc: 4.095 4.095 7.507
angles: 90.00 90.00 90.00
Space group I4/mmm (No. 139)
Unique sites:
Mg1 0.000 0.000 0.000 x2
Zn1 0.000 0.000 0.500 x2
P1 0.000 0.500 0.250 x4

Crystalline NaNb4Tl3P2O17 at its relaxed geometry, computed with GGA-PBEsol.

Calculated values
DOS at the Fermi energy = 0.000 states/eV per cell
total magnetic moment = 0.00 μB per atom
formation energy (no corrections) = -213.3 kJ/mol of atoms

abc: 7.411 21.449 9.905
angles: 90.00 90.00 90.00
Space group Ama2 (No. 40)
Unique sites:
Na1 0.000 0.000 0.000 x4
Nb1 0.000 0.000 0.370 x4
Nb2 0.000 0.153 0.565 x8
Nb3 0.250 0.236 0.284 x4
Tl1 0.250 0.028 0.706 x4
Tl2 0.250 0.198 0.884 x4
Tl3 0.250 0.363 0.702 x4
P1 0.250 0.088 0.142 x4
P2 0.250 0.386 0.340 x4
O1 0.044 0.064 0.498 x8
O2 0.061 0.273 0.174 x8
O3 0.068 0.197 0.408 x8
O4 0.076 0.062 0.207 x8
O5 0.079 0.395 0.251 x8
O6 0.250 0.076 0.991 x4
O7 0.250 0.149 0.640 x4
O8 0.250 0.160 0.166 x4
O9 0.250 0.317 0.394 x4
O10 0.250 0.355 0.008 x4
O11 0.250 0.431 0.459 x4
O12 0.250 0.471 0.840 x4

Crystalline Sr4CdBr at its relaxed geometry, computed with GGA-PBEsol.

Calculated values
DOS at the Fermi energy = 34.629 states/eV per cell
total magnetic moment = 0.00 μB per atom
formation energy (no corrections) = 13.5 kJ/mol of atoms

abc: 10.304 10.304 10.304
angles: 90.00 90.00 90.00
Space group F-43m (No. 216)
Unique sites:
Sr1 0.124 0.124 0.124 x16
Cd1 0.250 0.250 0.750 x4
Br1 0.000 0.000 0.500 x4